# NiHg4I2 (GGA-PBE, relaxed)
# DOS(E_F) (states/eV per cell): 8.511
# Uncorrected energy (eV per atom): -1.473
# Space group: I4/mmm, No. 139
# Volume (Å³/cell): 444
data_NiHg4I2
_cell_length_a 5.1595
_cell_length_b 5.1595
_cell_length_c 16.6862
_cell_angle_alpha 90.00
_cell_angle_beta 90.00
_cell_angle_gamma 90.00
_space_group_name_H-M_alt 'P 1'
_space_group_IT_number 1
loop_
_space_group_symop_operation_xyz
'x,y,z'
loop_
_atom_site_label
_atom_site_type_symbol
_atom_site_fract_x
_atom_site_fract_y
_atom_site_fract_z
Ni1 Ni 0.0000 0.0000 0.0000
Ni2 Ni 0.5000 0.5000 0.5000
Hg1 Hg 0.0000 0.0000 0.1509
Hg2 Hg 0.0000 0.0000 0.8491
Hg3 Hg 0.0000 0.5000 0.0000
Hg4 Hg 0.0000 0.5000 0.5000
Hg5 Hg 0.5000 0.0000 0.0000
Hg6 Hg 0.5000 0.0000 0.5000
Hg7 Hg 0.5000 0.5000 0.3491
Hg8 Hg 0.5000 0.5000 0.6509
I1 I 0.0000 0.0000 0.3221
I2 I 0.0000 0.0000 0.6779
I3 I 0.5000 0.5000 0.1779
I4 I 0.5000 0.5000 0.8221